A plane-wave DFT calculation with PBE was carried out for a geometry-optimized CdTeO3 structure.

Properties
* crystal system: monoclinic
* E_tot: -4.88 eV/atom

```
CdTeO3
1.0
-5.363 -5.221 -2.104
8.096 -6.930 -3.440
2.245 -0.825 6.947
O Cd Te
24 8 8
direct
0.515 0.368 0.931 O
0.213 0.419 0.494 O
0.695 0.335 0.333 O
0.990 0.128 0.230 O
0.990 0.372 0.730 O
0.952 0.409 0.112 O
0.695 0.165 0.833 O
0.787 0.581 0.506 O
0.010 0.628 0.270 O
0.010 0.872 0.770 O
0.305 0.665 0.667 O
0.704 0.676 0.849 O
0.515 0.132 0.431 O
0.048 0.591 0.888 O
0.485 0.632 0.069 O
0.305 0.835 0.167 O
0.213 0.081 0.994 O
0.787 0.919 0.006 O
0.296 0.176 0.651 O
0.296 0.324 0.151 O
0.048 0.909 0.388 O
0.704 0.824 0.349 O
0.952 0.091 0.612 O
0.485 0.868 0.569 O
0.001 0.230 0.963 Cd
0.999 0.730 0.537 Cd
0.730 0.989 0.690 Cd
0.270 0.011 0.310 Cd
0.001 0.270 0.463 Cd
0.270 0.489 0.810 Cd
0.999 0.770 0.037 Cd
0.730 0.511 0.190 Cd
0.826 0.500 0.746 Te
0.494 0.750 0.875 Te
0.494 0.750 0.375 Te
0.826 0.000 0.246 Te
0.174 0.000 0.754 Te
0.506 0.250 0.125 Te
0.506 0.250 0.625 Te
0.174 0.500 0.254 Te
```

***

A plane-wave DFT calculation with PBE was carried out for a geometry-optimized LuSc2Ag4Ge4 structure.

Properties
* crystal system: orthorhombic
* E_tot: -4.68 eV/atom
* size of the total moment: 0.00 μB per cell

```
LuSc2Ag4Ge4
1.0
5.077 -4.321 4.738
-2.478 -7.232 2.908
1.907 4.862 -6.295
Ge Ag Sc Lu
4 4 2 1
direct
0.320 0.500 0.820 Ge
0.780 0.780 0.000 Ge
0.220 0.220 0.000 Ge
0.680 0.500 0.180 Ge
0.370 0.670 0.700 Ag
0.029 0.330 0.700 Ag
0.630 0.330 0.300 Ag
0.971 0.670 0.300 Ag
0.622 0.122 0.500 Sc
0.378 0.878 0.500 Sc
0.000 0.000 0.000 Lu
```

***

A plane-wave DFT calculation with PBE was carried out for a geometry-optimized Y3Lu4Cu2Te2 structure.

Properties
* crystal system: orthorhombic
* E_tot: -5.24 eV/atom
* size of the total moment: 0.06 μB per cell

```
Y3Lu4Cu2Te2
1.0
3.625 -2.961 7.931
-3.163 8.642 -0.363
-0.706 -9.131 0.967
Te Lu Cu Y
2 4 2 3
direct
0.246 0.246 0.000 Te
0.638 0.138 0.500 Te
0.284 0.099 0.185 Lu
0.914 0.099 0.815 Lu
0.524 0.893 0.632 Lu
0.261 0.893 0.368 Lu
0.671 0.411 0.261 Cu
0.150 0.411 0.739 Cu
0.884 0.739 0.145 Y
0.981 0.481 0.500 Y
0.593 0.739 0.855 Y
```

***

A plane-wave DFT calculation with PBE was carried out for a geometry-optimized PrAgSe2 structure.

Properties
* crystal system: monoclinic
* E_tot: -4.86 eV/atom
* size of the total moment: 0.01 μB per cell

```
PrAgSe2
1.0
6.934 0.000 0.000
0.000 7.721 0.000
-0.982 0.000 7.409
Se Pr Ag
8 4 4
direct
0.387 0.398 0.206 Se
0.613 0.898 0.294 Se
0.387 0.102 0.706 Se
0.059 0.771 0.003 Se
0.613 0.602 0.794 Se
0.941 0.229 0.997 Se
0.941 0.271 0.497 Se
0.059 0.729 0.503 Se
0.195 0.041 0.297 Pr
0.805 0.541 0.203 Pr
0.805 0.959 0.703 Pr
0.195 0.459 0.797 Pr
0.578 0.169 0.041 Ag
0.422 0.831 0.959 Ag
0.422 0.669 0.459 Ag
0.578 0.331 0.541 Ag
```

***

A plane-wave DFT calculation with PBE was carried out for a geometry-optimized GdErIn4Ni2 structure.

Properties
* crystal system: orthorhombic
* E_tot: -4.35 eV/atom
* size of the total moment: 0.01 μB per cell

```
GdErIn4Ni2
1.0
7.408 0.000 0.000
0.000 2.166 5.245
0.000 -2.166 5.245
In Ni Gd Er
4 2 1 1
direct
0.301 0.856 0.856 In
0.799 0.143 0.143 In
0.201 0.143 0.143 In
0.699 0.856 0.856 In
0.500 0.286 0.286 Ni
0.000 0.715 0.715 Ni
0.000 0.432 0.432 Gd
0.500 0.568 0.568 Er
```

***

A plane-wave DFT calculation with PBE was carried out for a geometry-optimized Hf2Co7 structure.

Properties
* crystal system: monoclinic
* ΔH_f (0 K): -254 meV/atom
* E_tot: -7.99 eV/atom
* size of the total moment: 14.85 μB per cell

```
Hf2Co7
1.0
2.316 -4.099 0.000
2.316 4.099 0.000
-1.171 0.000 11.980
Co Hf
14 4
direct
0.753 0.753 0.250 Co
0.247 0.748 0.750 Co
0.538 0.871 0.077 Co
0.462 0.129 0.923 Co
0.034 0.367 0.577 Co
0.252 0.753 0.250 Co
0.367 0.034 0.577 Co
0.247 0.247 0.750 Co
0.748 0.247 0.750 Co
0.966 0.633 0.423 Co
0.633 0.966 0.423 Co
0.129 0.462 0.923 Co
0.871 0.538 0.077 Co
0.753 0.252 0.250 Co
0.714 0.714 0.617 Hf
0.219 0.219 0.117 Hf
0.781 0.781 0.883 Hf
0.286 0.286 0.383 Hf
```

***

Q: What is the E_tot in the second record?
A: -4.68 eV/atom

***

Q: Which value of E_tot does entry 1 give?
A: -4.88 eV/atom